1.
Crystalline AcZn2F8 at its relaxed geometry. Source: Alexandria, functional GGA-PBE.

Calculated values
DOS(E_F) ... 6.3 states/eV per cell
Formation energy without anion corrections ... -29.57 eV per formula unit
Mass density ... 4.67 g/cm3
Total moment ... 1.1 μB/cell
Offset from the most stable computed form ... 0.020 eV per atom
Symmetry ... No. 97

Lattice parameters (Å, degrees): 5.627 5.627 6.968 113.81 113.81 90.00
Last column: magnetic moment on the atom in μB.
Fractional coordinates of all 11 atoms:
Ac 0.500 0.500 0.000  0.01
Zn 0.250 0.750 0.500  0.14
F 0.474 0.948 0.270  0.09
F 0.679 0.204 0.730  0.09
F 0.321 0.474 0.270  0.09
F 0.204 0.052 0.730  0.09
F 0.526 0.679 0.730  0.09
Zn 0.750 0.250 0.500  0.14
F 0.796 0.321 0.270  0.09
F 0.052 0.526 0.730  0.09
F 0.948 0.796 0.270  0.09

***

2.
Crystalline AcZrF6 at its relaxed geometry. Source: Alexandria, functional GGA-PBE.

Calculated values
Formation energy without anion corrections ... -29.31 eV per formula unit
Mass density ... 5.83 g/cm3
Total moment ... 1.0 μB/cell
Symmetry ... No. 12

Lattice parameters (Å, degrees): 4.747 4.747 5.609 94.23 94.23 101.46
Last column: magnetic moment on the atom in μB.
Fractional coordinates of all 8 atoms:
Zr 0.500 0.500 0.500  0.69
F 0.522 0.180 0.201  0.01
F 0.802 0.802 0.367  0.00
F 0.180 0.522 0.201  0.01
F 0.478 0.820 0.799  0.01
F 0.820 0.478 0.799  0.01
F 0.198 0.198 0.633  0.00
Ac 0.000 0.000 0.000  0.01

***

3.
Crystalline Ac2ZrF at its relaxed geometry. Source: Alexandria, functional GGA-PBE.

Calculated values
DOS(E_F) ... 4.4 states/eV per cell
Formation energy without anion corrections ... -2.54 eV per formula unit
Mass density ... 8.00 g/cm3
Total moment ... 1.3 μB/cell
Symmetry ... No. 166

Lattice parameters (Å, degrees): 3.571 3.571 10.806 80.49 80.49 60.00
Last column: magnetic moment on the atom in μB.
Fractional coordinates of all 4 atoms:
Ac 0.898 0.898 0.307  0.08
F 0.500 0.500 0.500  0.01
Zr 0.000 0.000 0.000  0.64
Ac 0.102 0.102 0.693  0.08

***

4.
Crystalline AcFe6 at its relaxed geometry. Source: Alexandria, functional GGA-PBE.

Calculated values
DOS(E_F) ... 11.7 states/eV per cell
Mass density ... 8.14 g/cm3
DFT formation energy ... 541 meV/atom
Total moment ... 0.0 μB/cell
Symmetry ... No. 229

Lattice parameters (Å, degrees): 5.302 5.302 5.302 109.47 109.47 109.47
Fractional coordinates of all 7 atoms:
Fe 0.250 0.500 0.750
Ac 0.000 0.000 0.000
Fe 0.750 0.250 0.500
Fe 0.750 0.500 0.250
Fe 0.500 0.250 0.750
Fe 0.250 0.750 0.500
Fe 0.500 0.750 0.250

***

5.
Crystalline AcFe13 at its relaxed geometry. Source: Alexandria, functional GGA-PBE.

Calculated values
DOS(E_F) ... 27.6 states/eV per cell
Mass density ... 8.11 g/cm3
DFT formation energy ... 69 meV/atom
Total moment ... 61.6 μB/cell
Symmetry ... No. 226

Lattice parameters (Å, degrees): 8.201 8.201 8.201 60.00 60.00 60.00
Last column: magnetic moment on the atom in μB.
Fractional coordinates of all 28 atoms:
Fe 0.000 0.000 0.000  2.21
Ac 0.250 0.250 0.250  -0.21
Fe 0.295 0.065 0.705  2.46
Fe 0.795 0.565 0.435  2.46
Fe 0.500 0.500 0.500  2.21
Fe 0.205 0.795 0.435  2.46
Fe 0.795 0.435 0.205  2.46
Fe 0.295 0.705 0.935  2.46
Fe 0.705 0.935 0.295  2.46
Fe 0.935 0.295 0.705  2.46
Fe 0.565 0.795 0.205  2.46
Fe 0.065 0.935 0.705  2.46
Fe 0.935 0.065 0.295  2.46
Fe 0.205 0.435 0.565  2.46
Fe 0.065 0.705 0.295  2.46
Fe 0.935 0.705 0.065  2.46
Fe 0.795 0.205 0.565  2.46
Ac 0.750 0.750 0.750  -0.21
Fe 0.565 0.435 0.795  2.46
Fe 0.705 0.065 0.935  2.46
Fe 0.435 0.795 0.565  2.46
Fe 0.065 0.295 0.935  2.46
Fe 0.435 0.565 0.205  2.46
Fe 0.205 0.565 0.795  2.46
Fe 0.435 0.205 0.795  2.46
Fe 0.705 0.295 0.065  2.46
Fe 0.295 0.935 0.065  2.46
Fe 0.565 0.205 0.435  2.46

***

6.
Crystalline AcFe4 at its relaxed geometry. Source: Alexandria, functional GGA-PBE.

Calculated values
DOS(E_F) ... 7.5 states/eV per cell
Mass density ... 6.85 g/cm3
DFT formation energy ... 2293 meV/atom
Total moment ... 9.0 μB/cell
Symmetry ... No. 221

Lattice parameters (Å, degrees): 4.779 4.779 4.779 90.00 90.00 90.00
Last column: magnetic moment on the atom in μB.
Fractional coordinates of all 5 atoms:
Fe 0.500 0.000 0.500  2.09
Fe 0.500 0.500 0.000  2.09
Fe 0.000 0.500 0.500  2.09
Fe 0.000 0.000 0.000  3.27
Ac 0.500 0.500 0.500  -0.27

***

7.
Crystalline AcGa3Fe at its relaxed geometry. Source: Alexandria, functional GGA-PBE.

Calculated values
DOS(E_F) ... 1.5 states/eV per cell
Mass density ... 7.98 g/cm3
DFT formation energy ... -399 meV/atom
Total moment ... 0.0 μB/cell
Symmetry ... No. 221

Lattice parameters (Å, degrees): 4.677 4.677 4.677 90.00 90.00 90.00
Fractional coordinates of all 5 atoms:
Ga 0.000 0.000 0.500
Ga 0.500 0.000 0.000
Ac 0.500 0.500 0.500
Fe 0.000 0.000 0.000
Ga 0.000 0.500 0.000

***

8.
Crystalline Ac2GaFe at its relaxed geometry. Source: Alexandria, functional GGA-PBE.

Calculated values
DOS(E_F) ... 6.2 states/eV per cell
Mass density ... 7.69 g/cm3
DFT formation energy ... 619 meV/atom
Total moment ... 2.1 μB/cell
Symmetry ... No. 166

Lattice parameters (Å, degrees): 3.723 3.723 10.640 79.92 79.92 60.00
Last column: magnetic moment on the atom in μB.
Fractional coordinates of all 4 atoms:
Ac 0.913 0.913 0.260  -0.08
Ac 0.087 0.087 0.740  -0.08
Fe 0.000 0.000 0.000  2.44
Ga 0.500 0.500 0.500  0.02

***

9.
Crystalline Ac2Ga6Fe at its relaxed geometry. Source: Alexandria, functional GGA-PBE.

Calculated values
DOS(E_F) ... 3.8 states/eV per cell
Mass density ... 7.90 g/cm3
DFT formation energy ... -434 meV/atom
Total moment ... 2.2 μB/cell
Symmetry ... No. 225

Lattice parameters (Å, degrees): 6.511 6.511 6.511 60.00 60.00 60.00
Last column: magnetic moment on the atom in μB.
Fractional coordinates of all 9 atoms:
Ga 0.718 0.282 0.718  -0.02
Ac 0.250 0.250 0.250  0.00
Ga 0.282 0.718 0.718  -0.02
Ga 0.282 0.282 0.718  -0.02
Ac 0.750 0.750 0.750  0.00
Ga 0.282 0.718 0.282  -0.02
Fe 0.000 0.000 0.000  2.38
Ga 0.718 0.718 0.282  -0.02
Ga 0.718 0.282 0.282  -0.02

***

10.
Crystalline AcGa4Fe at its relaxed geometry. Source: Alexandria, functional GGA-PBE.

Calculated values
DOS(E_F) ... 8.0 states/eV per cell
Mass density ... 8.01 g/cm3
DFT formation energy ... -373 meV/atom
Total moment ... 0.0 μB/cell
Offset from the most stable computed form ... 0.000 eV per atom
Symmetry ... No. 51

Lattice parameters (Å, degrees): 4.115 7.308 7.741 90.00 90.00 90.00
Fractional coordinates of all 12 atoms:
Ga 0.500 0.287 0.926
Ga 0.500 0.958 0.750
Ga 0.500 0.287 0.574
Ga 0.500 0.713 0.074
Fe 0.000 0.821 0.250
Ga 0.500 0.042 0.250
Ac 0.000 0.383 0.250
Ac 0.000 0.617 0.750
Ga 0.500 0.713 0.426
Ga 0.000 0.000 0.500
Fe 0.000 0.179 0.750
Ga 0.000 0.000 0.000

***

11.
Crystalline AcGa4Fe at its relaxed geometry. Source: Alexandria, functional GGA-PBE.

Calculated values
DOS(E_F) ... 3.7 states/eV per cell
Mass density ... 6.49 g/cm3
DFT formation energy ... -124 meV/atom
Total moment ... 0.6 μB/cell
Offset from the most stable computed form ... 0.250 eV per atom
Symmetry ... No. 123

Lattice parameters (Å, degrees): 4.581 4.581 6.845 89.99 90.03 90.00
Last column: magnetic moment on the atom in μB.
Fractional coordinates of all 6 atoms:
Ga 0.500 0.500 0.500  -0.02
Ga 0.000 0.000 0.500  -0.02
Ga 0.000 0.500 0.171  0.01
Fe 0.000 0.500 0.500  0.46
Ga 0.000 0.500 0.829  0.01
Ac 0.500 0.000 0.000  0.04

***

12.
Crystalline Ac3Ga2Fe2N3 at its relaxed geometry. Source: Alexandria, functional GGA-PBE.

Calculated values
DOS(E_F) ... 5.8 states/eV per cell
Formation energy without anion corrections ... -6.72 eV per formula unit
Mass density ... 8.64 g/cm3
Total moment ... 3.2 μB/cell
Symmetry ... No. 139

Lattice parameters (Å, degrees): 4.053 4.053 11.754 99.93 99.93 90.00
Last column: magnetic moment on the atom in μB.
Fractional coordinates of all 10 atoms:
Ac 0.620 0.620 0.240  0.01
N 0.887 0.887 0.774  0.06
Fe 0.810 0.810 0.620  1.50
Fe 0.190 0.190 0.380  1.50
Ga 0.750 0.250 0.500  -0.06
N 0.500 0.500 0.000  0.01
Ac 0.380 0.380 0.760  0.01
Ac 0.000 0.000 0.000  0.03
N 0.113 0.113 0.226  0.06
Ga 0.250 0.750 0.500  -0.06